Entry 1:
## Bi2O3 (PBE)

Data for a relaxed Bi2O3 crystal.

a = 6.555 Å, b = 5.939 Å, c = 6.416 Å
α = 63.95°, β = 54.49°, γ = 61.56°
Fractional coordinates of all 10 atoms:
Bi 0.260 0.740 0.304
Bi 0.554 0.946 0.510
Bi 0.740 0.260 0.696
Bi 0.946 0.554 0.990
O 0.104 0.897 0.683
O 0.365 0.365 0.635
O 0.567 0.934 0.146
O 0.615 0.615 0.885
O 0.897 0.104 0.316
O 0.934 0.567 0.353

SG: Fdd2

---

Entry 2:
## Y2HgPC (PBE)

Data for a relaxed Y2HgPC crystal.

a = 5.058 Å, b = 5.058 Å, c = 3.810 Å
α = 90.00°, β = 90.00°, γ = 90.00°
Fractional coordinates of all 5 atoms:
Y 0.000 0.500 0.000
Y 0.500 0.000 0.000
Hg 0.000 0.000 0.500
P 0.500 0.500 0.500
C 0.500 0.500 0.000

SG: P4/mmm
Energy of formation: -24.9 kJ per mole of atoms

---

Across the entries above, mass density takes the values 8.9, 7.2 g/cm3, respectively.
Across the entries above, total DFT energy (no corrections) takes the values -5.6555, -5.8306 eV per atom, respectively.
Across the entries above, calculated volume takes the values 174, 97 Å³ per cell, respectively.